# 1
A geometry-optimized Na2ThMoO6 structure, computed with PBE+U.

Cell lengths 4.5303, 5.9097, 5.9097 Å; angles 90.00, 90.00, 90.00 degrees
Atoms (fractional coordinates):
Na 0.0138 0.5000 0.0000
Na 0.0138 0.0000 0.5000
Th 0.6389 0.5000 0.5000
Mo 0.6053 0.0000 0.0000
O 0.7026 0.2238 0.2238
O 0.7026 0.2238 0.7762
O 0.1484 0.5000 0.5000
O 0.2161 0.0000 0.0000
O 0.7026 0.7762 0.7762
O 0.7026 0.7762 0.2238

Calculated values
Space-group type: No. 99
Electronic total energy in eV/f.u.: -69.73
Magnetic moment in μB/f.u.: 0.000



# 2
A geometry-optimized Na2TiMo2O6 structure, computed with PBE+U.

Cell lengths 5.2758, 5.2758, 5.8448 Å; angles 98.83, 98.83, 116.16 degrees
Last column: magnetic moment on the atom in μB.
Atoms (fractional coordinates):
Na 0.8241 0.1759 0.0000  0.00
Na 0.1759 0.8241 0.0000  0.00
Ti 0.0000 0.0000 0.5000  0.06
Mo 0.3498 0.6502 0.5000  1.82
Mo 0.6502 0.3498 0.5000  1.82
O 0.7740 0.7740 0.7121  0.02
O 0.0538 0.3784 0.6894  0.02
O 0.2260 0.2260 0.2879  0.02
O 0.3784 0.0538 0.6894  0.02
O 0.9462 0.6216 0.3106  0.02
O 0.6216 0.9462 0.3106  0.02

Calculated values
Space-group type: No. 12
Electronic total energy in eV/f.u.: -76.07
Magnetic moment in μB/f.u.: 4.000



# 3
A geometry-optimized NaTiMo2O8 structure, computed with PBE+U.

Cell lengths 5.7666, 5.7666, 6.5085 Å; angles 90.00, 90.00, 120.00 degrees
Last column: magnetic moment on the atom in μB.
Atoms (fractional coordinates):
Na 0.0000 0.0000 0.5000  0.00
Ti 0.0000 0.0000 0.0000  0.51
Mo 0.3333 0.6667 0.7283  0.32
Mo 0.6667 0.3333 0.2717  0.32
O 0.1595 0.3190 0.8175  -0.03
O 0.1595 0.8405 0.8175  -0.03
O 0.6810 0.8405 0.8175  -0.03
O 0.3190 0.1595 0.1825  -0.03
O 0.6667 0.3333 0.5404  -0.01
O 0.3333 0.6667 0.4596  -0.01
O 0.8405 0.6810 0.1825  -0.03
O 0.8405 0.1595 0.1825  -0.03

Calculated values
Space-group type: No. 164
Electronic total energy in eV/f.u.: -86.38
Magnetic moment in μB/f.u.: 1.010



# 4
A geometry-optimized Na2TiMoO6 structure, computed with PBE+U.

Cell lengths 4.0910, 5.4640, 5.4640 Å; angles 90.00, 90.00, 90.00 degrees
Atoms (fractional coordinates):
Na 0.0836 0.5000 0.0000
Na 0.0836 0.0000 0.5000
Ti 0.6121 0.5000 0.5000
Mo 0.6118 0.0000 0.0000
O 0.6754 0.2451 0.2451
O 0.6754 0.2451 0.7549
O 0.1836 0.5000 0.5000
O 0.1704 0.0000 0.0000
O 0.6754 0.7549 0.7549
O 0.6754 0.7549 0.2451

Calculated values
Space-group type: No. 99
Electronic total energy in eV/f.u.: -68.62
Magnetic moment in μB/f.u.: 0.000



# 5
A geometry-optimized Na2Tl3MoO6 structure, computed with PBE+U.

Cell lengths 6.0973, 6.0973, 6.1896 Å; angles 98.15, 98.15, 121.04 degrees
Atoms (fractional coordinates):
Na 0.3313 0.6687 0.0000
Na 0.6687 0.3313 0.0000
Tl 0.1679 0.8321 0.5000
Tl 0.8321 0.1679 0.5000
Tl 0.5000 0.5000 0.5000
Mo 0.0000 0.0000 0.0000
O 0.9324 0.6704 0.8204
O 0.8017 0.8017 0.2123
O 0.0676 0.3296 0.1796
O 0.6704 0.9324 0.8204
O 0.1983 0.1983 0.7877
O 0.3296 0.0676 0.1796

Calculated values
Space-group type: No. 12
Electronic total energy in eV/f.u.: -60.77
Magnetic moment in μB/f.u.: 0.000



# 6
A geometry-optimized Na2TlMoO4 structure, computed with PBE+U.

Cell lengths 5.9642, 5.9642, 5.7170 Å; angles 121.02, 121.02, 90.69 degrees
Last column: magnetic moment on the atom in μB.
Atoms (fractional coordinates):
Na 0.7519 0.2519 0.5038  0.00
Na 0.2519 0.7519 0.5038  0.00
Tl 0.0034 0.0034 0.0069  0.01
Mo 0.5003 0.5003 0.0005  0.86
O 0.5619 0.5619 0.7445  0.02
O 0.4349 0.8134 0.2483  0.01
O 0.8134 0.4349 0.2483  0.01
O 0.1826 0.1826 0.7445  0.02

Calculated values
Space-group type: No. 42
Electronic total energy in eV/f.u.: -43.80
Magnetic moment in μB/f.u.: 1.000